[1]
DFT (GGA-PBE) results for crystalline Nd2CdAu3 at its relaxed geometry.

* space group: Imm2
* E above lowest polymorph: 49.4 meV/atom

Cell lengths 9.689, 9.689, 9.689 Å; angles 155.88, 155.44, 34.69 degrees
Element x y z (fractional)
Nd (0.000, 0.000, 0.000)
Nd (0.726, 0.226, 0.500)
Cd (0.401, 0.401, 0.000)
Au (0.153, 0.653, 0.500)
Au (0.302, 0.802, 0.500)
Au (0.555, 0.555, 0.000)



[2]
DFT (GGA-PBE) results for crystalline NdCd11Au at its relaxed geometry.

* space group: C2/m

Cell lengths 7.652, 7.652, 7.636 Å; angles 98.57, 98.57, 134.60 degrees
Element x y z (fractional)
Nd (0.000, 0.000, 0.000)
Cd (0.000, 0.000, 0.500)
Cd (0.000, 0.500, 0.000)
Cd (0.009, 0.357, 0.354)
Cd (0.291, 0.503, 0.785)
Cd (0.357, 0.009, 0.354)
Cd (0.497, 0.709, 0.215)
Cd (0.500, 0.000, 0.000)
Cd (0.503, 0.291, 0.785)
Cd (0.643, 0.991, 0.646)
Cd (0.709, 0.497, 0.215)
Cd (0.991, 0.643, 0.646)
Au (0.500, 0.500, 0.500)



[3]
DFT (GGA-PBE) results for crystalline NdCdAu at its relaxed geometry.

* space group: F-43m

Cell lengths 4.904, 4.904, 4.904 Å; angles 60.00, 60.00, 60.00 degrees
Element x y z (fractional)
Nd (0.000, 0.000, 0.000)
Cd (0.500, 0.500, 0.500)
Au (0.250, 0.250, 0.250)



[4]
DFT (GGA-PBE) results for crystalline NdCd5Au7 at its relaxed geometry.

* space group: Imm2

Cell lengths 7.525, 7.525, 7.525 Å; angles 134.74, 93.65, 103.44 degrees
Element x y z (fractional)
Nd (0.000, 0.000, 0.000)
Cd (0.001, 0.496, 0.005)
Cd (0.001, 0.995, 0.504)
Cd (0.491, 0.496, 0.496)
Cd (0.491, 0.995, 0.995)
Cd (0.722, 0.222, 0.500)
Au (0.140, 0.493, 0.647)
Au (0.270, 0.770, 0.500)
Au (0.307, 0.997, 0.310)
Au (0.337, 0.337, 0.000)
Au (0.666, 0.666, 0.000)
Au (0.688, 0.997, 0.690)
Au (0.847, 0.493, 0.353)



[5]
DFT (GGA-PBE) results for crystalline Nd4CdAu3 at its relaxed geometry.

* space group: Pmmm

Cell lengths 3.754, 5.292, 10.610 Å; angles 90.00, 90.00, 90.00 degrees
Element x y z (fractional)
Nd (0.000, 0.000, 0.000)
Nd (0.000, 0.000, 0.500)
Nd (0.000, 0.500, 0.240)
Nd (0.000, 0.500, 0.760)
Cd (0.500, 0.500, 0.500)
Au (0.500, 0.000, 0.260)
Au (0.500, 0.000, 0.740)
Au (0.500, 0.500, 0.000)



[6]
DFT (GGA-PBE) results for crystalline NdCd3Au2 at its relaxed geometry.

* space group: C2/m

Cell lengths 8.794, 8.794, 7.975 Å; angles 111.65, 111.65, 29.37 degrees
Element x y z (fractional)
Nd (0.118, 0.118, 0.163)
Nd (0.882, 0.882, 0.837)
Cd (0.063, 0.063, 0.679)
Cd (0.311, 0.311, 0.101)
Cd (0.354, 0.354, 0.508)
Cd (0.646, 0.646, 0.492)
Cd (0.689, 0.689, 0.899)
Cd (0.937, 0.937, 0.321)
Au (0.240, 0.240, 0.709)
Au (0.490, 0.490, 0.169)
Au (0.510, 0.510, 0.831)
Au (0.760, 0.760, 0.291)



Quick rundown of Fermi-level density of states, same order as above: 2.67; 5.88; 4.19; 3.56; 6.89; 5.98 states/eV/cell
Quick rundown of formation energy from the elements, same order as above: -0.6140; -0.1506; -0.5083; -0.2540; -0.6463; -0.4044 eV per atom